Record 1
Below is a relaxed structure of AcIn2Ag, with properties calculated at the GGA-PBE level.

## Properties
The symmetry is Cmcm (63). As for the polymorph energy (0 for the lowest one): 0 meV per atom. Its uncorrected energy is -27.95 eV for the cell shown. The formation energy is -1.54 eV per formula unit. Its crystal system is orthorhombic.

Lattice parameters (Å, degrees): 10.7653 10.7653 4.7864 90.00 90.00 156.05
Last column: nearest neighbours and their distance in Å.
Sites, in units of the cell vectors:
Ac (0.1086, 0.8914, 0.7500)  4 Ag 3.50, 10 In 3.61-3.86
Ac (0.8914, 0.1086, 0.2500)  4 Ag 3.50, 10 In 3.61-3.86
In (0.2524, 0.7476, 0.2500)  4 Ag 2.87-2.93
In (0.4641, 0.5359, 0.7500)  1 Ag 2.76, 2 In 2.83
In (0.5359, 0.4641, 0.2500)  1 Ag 2.76, 2 In 2.83
In (0.7476, 0.2524, 0.7500)  4 Ag 2.87-2.93
Ag (0.3329, 0.6671, 0.7500)  5 In 2.76-2.93
Ag (0.6671, 0.3329, 0.2500)  5 In 2.76-2.93

Record 2
Below is a relaxed structure of AcIn2Ag, with properties calculated at the GGA-PBE level.

## Properties
The symmetry is R-3m (166). As for the polymorph energy (0 for the lowest one): 55 meV per atom. Its uncorrected energy is -13.76 eV for the cell shown. The formation energy is -1.32 eV per formula unit. Its crystal system is trigonal.

Lattice parameters (Å, degrees): 6.4365 6.4365 6.4365 43.60 43.60 43.60
Last column: nearest neighbours and their distance in Å.
Sites, in units of the cell vectors:
Ac (0.0000, 0.0000, 0.0000)  8 In 3.44-3.76
In (0.2155, 0.2155, 0.2155)  3 Ag 2.89
In (0.7845, 0.7845, 0.7845)  3 Ag 2.89
Ag (0.5000, 0.5000, 0.5000)  6 In 2.89

Record 3
Below is a relaxed structure of Ac2InAg, with properties calculated at the GGA-PBE level.

## Properties
The symmetry is Pmma (51). Its uncorrected energy is -30.25 eV for the cell shown. The formation energy is -1.32 eV per formula unit. Its crystal system is orthorhombic.

Lattice parameters (Å, degrees): 5.7246 4.0501 11.3177 90.00 90.00 90.00
Last column: nearest neighbours and their distance in Å.
Sites, in units of the cell vectors:
Ac (0.2500, 0.0000, 0.1184)  6 Ag 3.46-3.51, 2 In 3.52
Ac (0.2500, 0.0000, 0.6301)  2 Ag 3.39, 6 In 3.51-3.55
Ac (0.7500, 0.0000, 0.3699)  2 Ag 3.39, 6 In 3.51-3.55
Ac (0.7500, 0.0000, 0.8816)  6 Ag 3.46-3.51, 2 In 3.52
In (0.2500, 0.5000, 0.3725)  8 Ac 3.51-3.55
In (0.7500, 0.5000, 0.6275)  8 Ac 3.51-3.55
Ag (0.2500, 0.5000, 0.8704)  8 Ac 3.39-3.51
Ag (0.7500, 0.5000, 0.1296)  8 Ac 3.39-3.51

Record 4
Below is a relaxed structure of Ac3InAg2, with properties calculated at the GGA-PBE level.

## Properties
The symmetry is P4/mmm (123). Its uncorrected energy is -22.63 eV for the cell shown. The formation energy is -1.87 eV per formula unit. Its crystal system is tetragonal.

Lattice parameters (Å, degrees): 3.9659 3.9659 12.3119 90.00 90.00 90.00
Last column: nearest neighbours and their distance in Å.
Sites, in units of the cell vectors:
Ac (0.0000, 0.0000, 0.0000)  8 Ag 3.43
Ac (0.0000, 0.0000, 0.3241)  4 Ag 3.45, 4 In 3.54
Ac (0.0000, 0.0000, 0.6759)  4 Ag 3.45, 4 In 3.54
In (0.5000, 0.5000, 0.5000)  8 Ac 3.54, 4 In 3.97
Ag (0.5000, 0.5000, 0.1606)  8 Ac 3.43-3.45
Ag (0.5000, 0.5000, 0.8394)  8 Ac 3.43-3.45

Record 5
Below is a relaxed structure of AcIn2Ag6, with properties calculated at the GGA-PBE level.

## Properties
The symmetry is Fd-3m (227). Its uncorrected energy is -48.82 eV for the cell shown. The formation energy is 2.28 eV per formula unit. Its crystal system is cubic.

Lattice parameters (Å, degrees): 8.8737 8.8737 8.8737 60.00 60.00 60.00
Last column: nearest neighbours and their distance in Å.
Sites, in units of the cell vectors:
Ac (0.1250, 0.1250, 0.1250)  6 Ag 3.09
Ac (0.8750, 0.8750, 0.8750)  6 Ag 3.09
In (0.0000, 0.5000, 0.5000)  6 Ag 2.74
In (0.5000, 0.0000, 0.5000)  6 Ag 2.74
In (0.5000, 0.5000, 0.0000)  6 Ag 2.74
In (0.5000, 0.5000, 0.5000)  6 Ag 2.74
Ag (0.1216, 0.1216, 0.6284)  2 In 2.74
Ag (0.1216, 0.6284, 0.1216)  2 In 2.74
Ag (0.1216, 0.6284, 0.6284)  2 In 2.74
Ag (0.3716, 0.3716, 0.8784)  2 In 2.74
Ag (0.3716, 0.8784, 0.3716)  2 In 2.74
Ag (0.3716, 0.8784, 0.8784)  2 In 2.74
Ag (0.6284, 0.1216, 0.1216)  2 In 2.74
Ag (0.6284, 0.1216, 0.6284)  2 In 2.74
Ag (0.6284, 0.6284, 0.1216)  2 In 2.74
Ag (0.8784, 0.3716, 0.3716)  2 In 2.74
Ag (0.8784, 0.3716, 0.8784)  2 In 2.74
Ag (0.8784, 0.8784, 0.3716)  2 In 2.74

Record 6
Below is a relaxed structure of Ac5InAg2, with properties calculated at the GGA-PBE level.

## Properties
The symmetry is I4/mcm (140). Its uncorrected energy is -61.58 eV for the cell shown. The formation energy is -1.81 eV per formula unit. Its crystal system is tetragonal.

Lattice parameters (Å, degrees): 9.6007 9.6007 9.6007 125.14 125.14 81.31
Last column: nearest neighbours and their distance in Å.
Sites, in units of the cell vectors:
Ac (0.0000, 0.0000, 0.0000)  4 Ag 3.47, 2 In 3.64
Ac (0.0097, 0.5097, 0.8143)  3 Ag 3.33-3.42, 2 In 3.66
Ac (0.1955, 0.0097, 0.5000)  3 Ag 3.33-3.42, 2 In 3.66
Ac (0.3045, 0.8045, 0.8143)  3 Ag 3.33-3.42, 2 In 3.66
Ac (0.4903, 0.3045, 0.5000)  3 Ag 3.33-3.42, 2 In 3.66
Ac (0.5000, 0.5000, 0.0000)  4 Ag 3.47, 2 In 3.64
Ac (0.5097, 0.6955, 0.5000)  3 Ag 3.33-3.42, 2 In 3.66
Ac (0.6955, 0.1955, 0.1857)  3 Ag 3.33-3.42, 2 In 3.66
Ac (0.8045, 0.9903, 0.5000)  3 Ag 3.33-3.42, 2 In 3.66
Ac (0.9903, 0.4903, 0.1857)  3 Ag 3.33-3.42, 2 In 3.66
In (0.2500, 0.2500, 0.0000)  10 Ac 3.64-3.66
In (0.7500, 0.7500, 0.0000)  10 Ac 3.64-3.66
Ag (0.1301, 0.3699, 0.5000)  1 Ag 3.25, 8 Ac 3.33-3.47
Ag (0.3699, 0.8699, 0.2399)  1 Ag 3.25, 8 Ac 3.33-3.47
Ag (0.6301, 0.1301, 0.7601)  1 Ag 3.25, 8 Ac 3.33-3.47
Ag (0.8699, 0.6301, 0.5000)  1 Ag 3.25, 8 Ac 3.33-3.47